The following is a PBE+U calculation of Tl2CoPbO6 after structural relaxation, from Alexandria.

abc: 5.635 5.635 5.865
angles: 61.29 61.29 60.00
Site moments in Bohr magnetons follow the coordinates.
Atoms (fractional coordinates):
1 Tl 0.040 0.040 0.880  0.01
2 Tl 0.527 0.527 0.418  0.00
3 Pb 0.306 0.306 0.083  0.09
4 O 0.071 0.473 0.748  0.03
5 O 0.632 0.167 0.284  0.04
6 O 0.167 0.918 0.284  0.04
7 O 0.708 0.071 0.748  0.03
8 O 0.473 0.708 0.748  0.03
9 O 0.918 0.632 0.284  0.04
10 Co 0.821 0.821 0.538  0.37

Results
The calculation puts the mass density at 9.54 g/cm3. The value obtained for the total magnetization is 0.71 μB per formula unit. The raw total energy comes out at -5.04 eV per atom. The space-group type is R3, No. 146.